# PBE Pm4SmTm3, relaxed
# * polymorph energy (0 for the lowest one): 190 meV per atom
# * DFT total energy: -4.43 eV/atom
# * total magnetization: 0.0 μB per cell
# * DFT formation energy: 0.215 eV per atom
data_Pm4SmTm3
_chemical_formula_sum 'Pm4 Sm1 Tm3'
_symmetry_space_group_name_H-M 'P 1'
_symmetry_Int_Tables_number 1
_cell_length_a 5.6983
_cell_length_b 3.6095
_cell_length_c 13.2868
_cell_angle_alpha 90.00
_cell_angle_beta 102.38
_cell_angle_gamma 90.00
loop_
_symmetry_equiv_pos_as_xyz
'x,y,z'
loop_
_atom_site_label
_atom_site_type_symbol
_atom_site_fract_x
_atom_site_fract_y
_atom_site_fract_z
Sm1 Sm 0.5000 0.0000 0.0000
Tm1 Tm 0.0000 0.5000 0.0000
Tm2 Tm 0.1520 0.9999 0.3040
Pm1 Pm 0.2760 0.4996 0.5520
Pm2 Pm 0.6044 0.4996 0.2087
Pm3 Pm 0.3956 0.5004 0.7913
Pm4 Pm 0.7240 0.5004 0.4480
Tm3 Tm 0.8480 0.0001 0.6960